1.
# GGA-PBE HgWAu2, relaxed
data_HgWAu2
_symmetry_space_group_name_H-M 'P 4/m m m'
_symmetry_Int_Tables_number 123
_symmetry_space_group_name_Hall '-P 4 2'
_cell_length_a 5.1154
_cell_length_b 5.1154
_cell_length_c 2.8230
_cell_angle_alpha 90.00
_cell_angle_beta 90.00
_cell_angle_gamma 90.00
loop_
_atom_site_label
_atom_site_type_symbol
_atom_site_fract_x
_atom_site_fract_y
_atom_site_fract_z
Hg1 Hg 0.0000 0.0000 0.0000
W1 W 0.5000 0.5000 0.0000
Au1 Au 0.0000 0.5000 0.5000
# - Calculated formation energy: 0.587 eV per atom
# - Volume: 18.47 Å³/atom
# - Total magnetization: 0.85 μB/f.u.
# - VASP energy: -4.37 eV/atom

=====

2.
# GGA-PBE ThPaNb4, relaxed
data_ThPaNb4
_symmetry_space_group_name_H-M 'F -4 3 m'
_symmetry_Int_Tables_number 216
_symmetry_space_group_name_Hall 'F -4 2 3'
_cell_length_a 8.0810
_cell_length_b 8.0810
_cell_length_c 8.0810
_cell_angle_alpha 90.00
_cell_angle_beta 90.00
_cell_angle_gamma 90.00
loop_
_atom_site_label
_atom_site_type_symbol
_atom_site_fract_x
_atom_site_fract_y
_atom_site_fract_z
Th1 Th 0.0000 0.0000 0.0000
Pa1 Pa 0.2500 0.2500 0.7500
Nb1 Nb 0.1245 0.1245 0.3755
# - Calculated formation energy: 0.082 eV per atom
# - Volume: 21.99 Å³/atom
# - Total magnetization: 0.00 μB/f.u.
# - VASP energy: -9.45 eV/atom

=====

3.
# GGA-PBE LaPmNd4Dy2, relaxed
data_LaPmNd4Dy2
_symmetry_space_group_name_H-M 'P 1 2/m 1'
_symmetry_Int_Tables_number 10
_cell_length_a 6.3192
_cell_length_b 3.6627
_cell_length_c 12.1075
_cell_angle_alpha 90.00
_cell_angle_beta 100.24
_cell_angle_gamma 90.00
loop_
_symmetry_equiv_pos_as_xyz
'x,y,z'
'-x,-y,-z'
'-x,y,-z'
'x,-y,z'
loop_
_atom_site_label
_atom_site_type_symbol
_atom_site_fract_x
_atom_site_fract_y
_atom_site_fract_z
La1 La 0.0000 0.0000 0.0000
Pm1 Pm 0.5000 0.5000 0.0000
Nd1 Nd 0.2493 0.0000 0.7458
Nd2 Nd 0.2511 0.5000 0.2553
Dy1 Dy 0.0000 0.5000 0.5000
Dy2 Dy 0.5000 0.0000 0.5000
# - Calculated formation energy: 0.019 eV per atom
# - Volume: 34.47 Å³/atom
# - Total magnetization: 0.00 μB/f.u.
# - VASP energy: -4.73 eV/atom

=====

4.
# GGA-PBE Li9Ca2Mg3, relaxed
data_Li9Ca2Mg3
_symmetry_space_group_name_H-M 'C m c m'
_symmetry_Int_Tables_number 63
_symmetry_space_group_name_Hall '-C 2c 2'
_cell_length_a 14.7961
_cell_length_b 8.9407
_cell_length_c 9.9940
_cell_angle_alpha 90.00
_cell_angle_beta 90.00
_cell_angle_gamma 90.00
loop_
_atom_site_label
_atom_site_type_symbol
_atom_site_fract_x
_atom_site_fract_y
_atom_site_fract_z
Li1 Li 0.0000 0.1554 0.0236
Li2 Li 0.0000 0.3258 0.7500
Li3 Li 0.0970 0.0373 0.7500
Li4 Li 0.1625 0.3141 0.5922
Ca1 Ca 0.1505 0.3384 0.2500
Mg1 Mg 0.0000 0.5000 0.0000
Mg2 Mg 0.1915 0.0000 0.0000
# - Calculated formation energy: -0.008 eV per atom
# - Volume: 23.61 Å³/atom
# - Total magnetization: 0.00 μB/f.u.
# - VASP energy: -1.87 eV/atom

=====

5.
# GGA-PBE NdDy2Y2Sc, relaxed
data_NdDy2Y2Sc
_symmetry_space_group_name_H-M 'P n n m'
_symmetry_Int_Tables_number 58
_cell_length_a 6.5337
_cell_length_b 17.4813
_cell_length_c 3.3557
_cell_angle_alpha 90.00
_cell_angle_beta 90.00
_cell_angle_gamma 90.00
loop_
_symmetry_equiv_pos_as_xyz
'x,y,z'
'-x,-y,-z'
'-x,-y,z'
'x,y,-z'
'x+1/2,-y+1/2,-z+1/2'
'-x+1/2,y+1/2,z+1/2'
'-x+1/2,y+1/2,-z+1/2'
'x+1/2,-y+1/2,z+1/2'
loop_
_atom_site_label
_atom_site_type_symbol
_atom_site_fract_x
_atom_site_fract_y
_atom_site_fract_z
Nd1 Nd 0.0000 0.0000 0.0000
Dy1 Dy 0.2482 0.1459 0.5000
Y1 Y 0.2473 0.3175 0.0000
Sc1 Sc 0.0000 0.5000 0.0000
# - Calculated formation energy: 0.272 eV per atom
# - Volume: 31.94 Å³/atom
# - Total magnetization: 0.00 μB/f.u.
# - VASP energy: -5.27 eV/atom

=====

6.
# GGA-PBE Nd2GeRh, relaxed
data_Nd2GeRh
_symmetry_space_group_name_H-M 'P 1 21/m 1'
_symmetry_Int_Tables_number 11
_cell_length_a 5.9465
_cell_length_b 4.2981
_cell_length_c 8.1852
_cell_angle_alpha 90.00
_cell_angle_beta 109.89
_cell_angle_gamma 90.00
loop_
_symmetry_equiv_pos_as_xyz
'x,y,z'
'-x,-y,-z'
'-x,y+1/2,-z'
'x,-y+1/2,z'
loop_
_atom_site_label
_atom_site_type_symbol
_atom_site_fract_x
_atom_site_fract_y
_atom_site_fract_z
Nd1 Nd 0.1889 0.2500 0.4142
Nd2 Nd 0.2802 0.7500 0.0601
Ge1 Ge 0.3673 0.7500 0.7050
Rh1 Rh 0.1492 0.2500 0.7876
# - Calculated formation energy: -0.764 eV per atom
# - Volume: 24.59 Å³/atom
# - Total magnetization: 0.00 μB/f.u.
# - VASP energy: -6.14 eV/atom

=====

7.
# GGA-PBE La4As2S, relaxed
data_La4As2S
_symmetry_space_group_name_H-M 'C 1 2/m 1'
_symmetry_Int_Tables_number 12
_cell_length_a 16.0212
_cell_length_b 4.2049
_cell_length_c 7.3338
_cell_angle_alpha 90.00
_cell_angle_beta 117.16
_cell_angle_gamma 90.00
loop_
_symmetry_equiv_pos_as_xyz
'x,y,z'
'-x,-y,-z'
'-x,y,-z'
'x,-y,z'
'x+1/2,y+1/2,z'
'-x+1/2,-y+1/2,-z'
'-x+1/2,y+1/2,-z'
'x+1/2,-y+1/2,z'
loop_
_atom_site_label
_atom_site_type_symbol
_atom_site_fract_x
_atom_site_fract_y
_atom_site_fract_z
La1 La 0.1257 0.0000 0.2833
La2 La 0.1267 0.5000 0.8044
As1 As 0.2427 0.0000 0.7413
S1 S 0.0000 0.5000 0.0000
# - Volume: 31.40 Å³/atom
# - Total magnetization: 0.75 μB/f.u.
# - VASP energy: -6.15 eV/atom

=====

8.
# GGA-PBE ZrSc2Si, relaxed
data_ZrSc2Si
_symmetry_space_group_name_H-M 'I -4 2 d'
_symmetry_Int_Tables_number 122
_symmetry_space_group_name_Hall 'I -4 2bw'
_cell_length_a 7.9075
_cell_length_b 7.9075
_cell_length_c 5.6066
_cell_angle_alpha 90.00
_cell_angle_beta 90.00
_cell_angle_gamma 90.00
loop_
_atom_site_label
_atom_site_type_symbol
_atom_site_fract_x
_atom_site_fract_y
_atom_site_fract_z
Zr1 Zr 0.0000 0.0000 0.0000
Sc1 Sc 0.2049 0.7500 0.6250
Si1 Si 0.0000 0.0000 0.5000
# - Volume: 21.91 Å³/atom
# - Total magnetization: 0.00 μB/f.u.
# - VASP energy: -6.66 eV/atom

=====

9.
# GGA-PBE KTaCd2, relaxed
data_KTaCd2
_symmetry_space_group_name_H-M 'C 1 m 1'
_symmetry_Int_Tables_number 8
_cell_length_a 11.8729
_cell_length_b 2.8281
_cell_length_c 5.7823
_cell_angle_alpha 90.00
_cell_angle_beta 102.71
_cell_angle_gamma 90.00
loop_
_symmetry_equiv_pos_as_xyz
'x,y,z'
'x,-y,z'
'x+1/2,y+1/2,z'
'x+1/2,-y+1/2,z'
loop_
_atom_site_label
_atom_site_type_symbol
_atom_site_fract_x
_atom_site_fract_y
_atom_site_fract_z
K1 K 0.0000 0.0000 0.0000
Ta1 Ta 0.2279 0.0000 0.5621
Cd1 Cd 0.2524 0.5000 0.0846
Cd2 Cd 0.4916 0.0000 0.5056
# - Calculated formation energy: 0.593 eV per atom
# - Volume: 23.67 Å³/atom
# - Total magnetization: 0.00 μB/f.u.
# - VASP energy: -3.10 eV/atom

=====

10.
# GGA-PBE NpMn2Fe, relaxed
data_NpMn2Fe
_symmetry_space_group_name_H-M 'R -3 m'
_symmetry_Int_Tables_number 166
_symmetry_space_group_name_Hall '-R 3 2"'
_cell_length_a 2.6196
_cell_length_b 2.6196
_cell_length_c 26.5746
_cell_angle_alpha 90.00
_cell_angle_beta 90.00
_cell_angle_gamma 120.00
loop_
_atom_site_label
_atom_site_type_symbol
_atom_site_fract_x
_atom_site_fract_y
_atom_site_fract_z
Np1 Np 0.0000 0.0000 0.0000
Mn1 Mn 0.0000 0.0000 0.0921
Fe1 Fe 0.0000 0.0000 0.5000
# - Calculated formation energy: 0.539 eV per atom
# - Volume: 13.16 Å³/atom
# - Total magnetization: 0.70 μB/f.u.
# - VASP energy: -9.40 eV/atom

=====

11.
# GGA-PBE Cs2NdPuO6, relaxed
data_Cs2NdPuO6
_symmetry_space_group_name_H-M 'F m -3 m'
_symmetry_Int_Tables_number 225
_symmetry_space_group_name_Hall '-F 4 2 3'
_cell_length_a 8.9414
_cell_length_b 8.9414
_cell_length_c 8.9414
_cell_angle_alpha 90.00
_cell_angle_beta 90.00
_cell_angle_gamma 90.00
loop_
_atom_site_label
_atom_site_type_symbol
_atom_site_fract_x
_atom_site_fract_y
_atom_site_fract_z
Cs1 Cs 0.2500 0.2500 0.2500
Nd1 Nd 0.0000 0.0000 0.0000
Pu1 Pu 0.0000 0.0000 0.5000
O1 O 0.0000 0.0000 0.2715
# - Volume: 17.87 Å³/atom
# - Total magnetization: 1.00 μB/f.u.
# - VASP energy: -7.51 eV/atom

=====

12.
# GGA-PBE Mn2OsCl, relaxed
data_Mn2OsCl
_symmetry_space_group_name_H-M 'P 4/m m m'
_symmetry_Int_Tables_number 123
_symmetry_space_group_name_Hall '-P 4 2'
_cell_length_a 2.9189
_cell_length_b 2.9189
_cell_length_c 7.3231
_cell_angle_alpha 90.00
_cell_angle_beta 90.00
_cell_angle_gamma 90.00
loop_
_atom_site_label
_atom_site_type_symbol
_atom_site_fract_x
_atom_site_fract_y
_atom_site_fract_z
Mn1 Mn 0.0000 0.0000 0.2243
Os1 Os 0.5000 0.5000 0.0000
Cl1 Cl 0.5000 0.5000 0.5000
# - Volume: 15.60 Å³/atom
# - Total magnetization: 6.88 μB/f.u.
# - VASP energy: -7.65 eV/atom

=====

What is the formula in the sixth record? Nd2GeRh